Record 1
Material: BaLi2Pt
Method: DFT, GGA-PBE
State: relaxed

```
data_BaLi2Pt
_cell_length_a 8.7102
_cell_length_b 4.1134
_cell_length_c 5.5218
_cell_angle_alpha 90.00
_cell_angle_beta 105.00
_cell_angle_gamma 90.00
_space_group_name_H-M_alt 'C 1 2/m 1'
_space_group_IT_number 12
loop_
_space_group_symop_operation_xyz
'x,y,z'
'-x,-y,-z'
'-x,y,-z'
'x,-y,z'
'x+1/2,y+1/2,z'
'-x+1/2,-y+1/2,-z'
'-x+1/2,y+1/2,-z'
'x+1/2,-y+1/2,z'
loop_
_atom_site_label
_atom_site_type_symbol
_atom_site_fract_x
_atom_site_fract_y
_atom_site_fract_z
Ba1 Ba 0.0000 0.0000 0.0000
Li1 Li 0.1969 0.0000 0.5890
Pt1 Pt 0.0000 0.5000 0.5000
```

Calculated total energy ... -26.6 eV/cell
E_form ... -0.3796 eV per atom
Magnetic moment ... 0.00 μB/cell

=====

Record 2
Material: TlCo3Ge
Method: DFT, GGA-PBE
State: relaxed

```
data_TlCo3Ge
_cell_length_a 4.3702
_cell_length_b 4.3702
_cell_length_c 4.3702
_cell_angle_alpha 90.00
_cell_angle_beta 90.00
_cell_angle_gamma 90.00
_space_group_name_H-M_alt 'P m -3 m'
_space_group_IT_number 221
_space_group_name_Hall '-P 4 2 3'
loop_
_atom_site_label
_atom_site_type_symbol
_atom_site_fract_x
_atom_site_fract_y
_atom_site_fract_z
Tl1 Tl 0.0000 0.0000 0.0000
Co1 Co 0.0000 0.5000 0.5000
Ge1 Ge 0.5000 0.5000 0.5000
```

Calculated total energy ... -24.7 eV/cell
E_form ... 0.7207 eV per atom
Magnetic moment ... 2.64 μB/cell

=====

Record 3
Material: CsLi2DyI6
Method: DFT, GGA-PBE
State: relaxed

```
data_CsLi2DyI6
_cell_length_a 7.5557
_cell_length_b 7.5563
_cell_length_c 10.3129
_cell_angle_alpha 89.97
_cell_angle_beta 68.55
_cell_angle_gamma 60.01
_space_group_name_H-M_alt 'P -1'
_space_group_IT_number 2
loop_
_space_group_symop_operation_xyz
'x,y,z'
'-x,-y,-z'
loop_
_atom_site_label
_atom_site_type_symbol
_atom_site_fract_x
_atom_site_fract_y
_atom_site_fract_z
Cs1 Cs 0.0000 0.0000 0.0000
Li1 Li 0.3359 0.8325 0.4967
Dy1 Dy 0.0000 0.5000 0.5000
I1 I 0.1250 0.7711 0.3174
I2 I 0.2134 0.5573 0.6825
I3 I 0.4530 0.1051 0.3172
```

Calculated total energy ... -32.2 eV/cell
Magnetic moment ... 0.00 μB/cell

=====

Record 4
Material: TbPuTc
Method: DFT, GGA-PBE
State: relaxed

```
data_TbPuTc
_cell_length_a 3.5059
_cell_length_b 6.1118
_cell_length_c 13.1732
_cell_angle_alpha 90.00
_cell_angle_beta 90.00
_cell_angle_gamma 90.00
_space_group_name_H-M_alt 'I m m m'
_space_group_IT_number 71
_space_group_name_Hall '-I 2 2'
loop_
_atom_site_label
_atom_site_type_symbol
_atom_site_fract_x
_atom_site_fract_y
_atom_site_fract_z
Tb1 Tb 0.0000 0.0000 0.2104
Pu1 Pu 0.0000 0.2605 0.5000
Tc1 Tc 0.0000 0.5000 0.1114
```

Calculated total energy ... -116.9 eV/cell
E_form ... 0.0302 eV per atom
Magnetic moment ... 20.02 μB/cell